[1]
LiMg30CoO32: single point on PBEsol structure, SCAN.

Cell: 8.404 8.391 8.391 Å, 90.00 90.00 90.00°
Sites, in units of the cell vectors:
Li: 0.500 0.000 0.000
Mg: 0.000 0.500 0.000
Mg: 0.500 0.500 0.000
Mg: 0.000 0.000 0.500
Mg: 0.500 0.000 0.500
Mg: 0.000 0.500 0.500
Mg: 0.500 0.500 0.500
Mg: 0.253 0.247 0.000
Mg: 0.747 0.247 0.000
Mg: 0.253 0.753 0.000
Mg: 0.747 0.753 0.000
Mg: 0.251 0.250 0.500
Mg: 0.749 0.250 0.500
Mg: 0.251 0.750 0.500
Mg: 0.749 0.750 0.500
Mg: 0.253 0.000 0.247
Mg: 0.747 0.000 0.247
Mg: 0.251 0.500 0.250
Mg: 0.749 0.500 0.250
Mg: 0.253 0.000 0.753
Mg: 0.747 0.000 0.753
Mg: 0.251 0.500 0.750
Mg: 0.749 0.500 0.750
Mg: 0.000 0.249 0.249
Mg: 0.500 0.247 0.247
Mg: 0.000 0.751 0.249
Mg: 0.500 0.753 0.247
Mg: 0.000 0.249 0.751
Mg: 0.500 0.247 0.753
Mg: 0.000 0.751 0.751
Mg: 0.500 0.753 0.753
Co: 0.000 0.000 0.000
O: 0.000 0.000 0.237
O: 0.500 0.000 0.253
O: 0.000 0.500 0.248
O: 0.500 0.500 0.250
O: 0.000 0.000 0.763
O: 0.500 0.000 0.747
O: 0.000 0.500 0.752
O: 0.500 0.500 0.750
O: 0.249 0.250 0.250
O: 0.751 0.250 0.250
O: 0.249 0.750 0.250
O: 0.751 0.750 0.250
O: 0.249 0.250 0.750
O: 0.751 0.250 0.750
O: 0.249 0.750 0.750
O: 0.751 0.750 0.750
O: 0.231 0.000 0.000
O: 0.769 0.000 0.000
O: 0.246 0.500 0.000
O: 0.754 0.500 0.000
O: 0.246 0.000 0.500
O: 0.754 0.000 0.500
O: 0.249 0.500 0.500
O: 0.751 0.500 0.500
O: 0.000 0.237 0.000
O: 0.500 0.253 0.000
O: 0.000 0.763 0.000
O: 0.500 0.747 0.000
O: 0.000 0.248 0.500
O: 0.500 0.250 0.500
O: 0.000 0.752 0.500
O: 0.500 0.750 0.500

## Properties
M_tot (Bohr magnetons per cell): 0.1
Formation energy without anion corrections (eV per atom): -2.94
Uncorrected energy (eV per atom): -8.69



[2]
LiMg2CoPt: single point on PBEsol structure, SCAN.

Cell: 3.787 4.372 4.372 Å, 90.00 90.00 90.00°
Sites, in units of the cell vectors:
Mg: 0.000 0.000 0.500
Mg: 0.000 0.500 0.000
Co: 0.500 0.000 0.000
Pt: 0.500 0.500 0.500
Li: 0.000 0.000 0.000

## Properties
M_tot (Bohr magnetons per cell): 0.7
Uncorrected energy (eV per atom): -19.49
Formation energy from the elements (meV per atom): 481